A | CaBi3Ir (PBE, optimized geometry); V = 35.910 A^3/atom; symmetry = Pm-3m, No. 221
1.0
-2.814 0.786 4.826
0.398 -5.513 1.130
4.874 0.904 2.694
Ca Ir Bi
1 1 3
Direct
0.000 0.000 0.000
0.500 0.500 0.500
0.000 0.500 0.000
0.000 0.000 0.500
0.500 0.000 0.000



B | CaBi3Ir (PBE, optimized geometry); V = 32.604 A^3/atom; symmetry = Pm-3m, No. 221
1.0
5.463 0.000 0.000
0.000 5.463 0.000
0.000 0.000 5.463
Ca Ir Bi
1 1 3
Direct
0.500 0.500 0.500
0.000 0.000 0.000
0.000 0.500 0.000
0.000 0.000 0.500
0.500 0.000 0.000



Question: of the structures shown, which is the most stable? Reply: B.